Computed, not measured: crystalline AlFeO2 at its relaxed geometry at the PBE+U level of DFT.

The space group is R-3m (No. 166, hexagonal axes) and the conventional cell measures 2.8301, 2.8301 and 17.5480 Å, with angles of 90.00, 90.00 and 120.00 degrees. The asymmetric unit holds Al at (0.0000, 0.0000, 0.0000), Fe at (0.0000, 0.0000, 0.5000) and O at (0.0000, 0.0000, 0.3890).

As for the calculated density: 4700 kg/m3. Its total magnetic moment is 3.02 μB per formula unit. For the raw total energy, the calculation gives -27.0 eV per formula unit. The calculation puts the density of states at the Fermi level at 0.599 states/eV/f.u.

---

Computed, not measured: crystalline Al2FePO6 at its relaxed geometry at the PBE+U level of DFT.

The space group is C2/c (No. 15) and the conventional cell measures 8.699, 9.670 and 5.740 Å, with angles of 90.00, 112.99 and 90.00 degrees. The asymmetric unit holds Al at (0.132, 0.084, 0.165), Fe at (0.000, 0.398, 0.250), P at (0.000, 0.299, 0.750), O at (0.110, 0.267, 0.070), O at (0.119, 0.059, 0.464) and O at (0.126, 0.408, 0.698).

As for the calculated density: 3538 kg/m3. Its total magnetic moment is 4.99 μB per formula unit. For the raw total energy, the calculation gives -70.2 eV per formula unit. The calculation puts the density of states at the Fermi level at 1.138 states/eV/f.u.

---

Question: The highest calculated density belongs to which entry?
Answer: AlFeO2

---

Question: The highest calculated density belongs to which entry?
Answer: AlFeO2

---

Question: total magnetic moment of number 1 (AlFeO2)?
Answer: 3.02 μB per formula unit

---

Question: Which formula does entry 2 have?
Answer: Al2FePO6